A plane-wave DFT calculation with GGA-PBE was carried out for CaZrOF2 after structural relaxation.

Computed properties:
The formation energy from raw total energies comes out at -2.0269 eV per atom. The space-group type is P4/mmm, No. 123. Its crystal system is tetragonal.

a b c (Å): 4.1849 4.1849 4.5979
angles (deg): 90.00 90.00 90.00
Site moments in Bohr magnetons follow the coordinates.
Element x y z (fractional)
Zr1 0.5000 0.5000 0.5000  1.40
F1 0.5000 0.0000 0.0000  0.01
F2 0.0000 0.5000 0.0000  0.01
Ca1 0.0000 0.0000 0.0000  0.00
O1 0.0000 0.0000 0.5000  -0.03